Entry 1:
# PBE Li2ScC2, optimized geometry
# Energy ... -0.425 Ry per atom
# ΔH_f (0 K) ... -0.06 eV/atom
# Energy above the most stable polymorph in this dataset ... 0.0 meV per atom
data_Li2ScC2
_chemical_formula_sum 'Li4 Sc2 C4'
_cell_length_a 3.288
_cell_length_b 3.288
_cell_length_c 9.097
_cell_angle_alpha 90.00
_cell_angle_beta 90.00
_cell_angle_gamma 90.00
_symmetry_space_group_name_H-M 'I 4/m m m'
_symmetry_Int_Tables_number 139
_symmetry_space_group_name_Hall '-I 4 2'
loop_
_atom_site_label
_atom_site_type_symbol
_atom_site_fract_x
_atom_site_fract_y
_atom_site_fract_z
Li1 Li 0.000 0.500 0.250
Sc1 Sc 0.000 0.000 0.000
C1 C 0.000 0.000 0.419

=====

Entry 2:
# PBE LiScC, optimized geometry
# Energy ... -0.437 Ry per atom
# ΔH_f (0 K) ... -0.12 eV/atom
# Energy above the most stable polymorph in this dataset ... 146.2 meV per atom
data_LiScC
_chemical_formula_sum 'Li2 Sc2 C2'
_cell_length_a 4.550
_cell_length_b 3.658
_cell_length_c 5.606
_cell_angle_alpha 90.00
_cell_angle_beta 110.14
_cell_angle_gamma 90.00
_symmetry_space_group_name_H-M 'P 1 21/m 1'
_symmetry_Int_Tables_number 11
loop_
_symmetry_equiv_pos_as_xyz
'x,y,z'
'-x,-y,-z'
'-x,y+1/2,-z'
'x,-y+1/2,z'
loop_
_atom_site_label
_atom_site_type_symbol
_atom_site_fract_x
_atom_site_fract_y
_atom_site_fract_z
Li1 Li 0.111 0.250 0.098
Sc1 Sc 0.289 0.250 0.593
C1 C 0.178 0.750 0.327

=====

Entry 3:
# PBE LiScC, optimized geometry
# Energy ... -0.433 Ry per atom
# ΔH_f (0 K) ... -0.07 eV/atom
# Energy above the most stable polymorph in this dataset ... 190.2 meV per atom
data_LiScC
_chemical_formula_sum 'Li2 Sc2 C2'
_cell_length_a 4.376
_cell_length_b 4.376
_cell_length_c 4.799
_cell_angle_alpha 90.00
_cell_angle_beta 90.00
_cell_angle_gamma 90.00
_symmetry_space_group_name_H-M 'P 4/n m m'
_symmetry_Int_Tables_number 129
loop_
_symmetry_equiv_pos_as_xyz
'x,y,z'
'-x,-y,-z'
'-y+1/2,x,z'
'y+1/2,-x,-z'
'-x+1/2,-y+1/2,z'
'x+1/2,y+1/2,-z'
'y,-x+1/2,z'
'-y,x+1/2,-z'
'x+1/2,-y,-z'
'-x+1/2,y,z'
'-y,-x,-z'
'y,x,z'
'-x,y+1/2,-z'
'x,-y+1/2,z'
'y+1/2,x+1/2,-z'
'-y+1/2,-x+1/2,z'
loop_
_atom_site_label
_atom_site_type_symbol
_atom_site_fract_x
_atom_site_fract_y
_atom_site_fract_z
Li1 Li 0.250 0.250 0.050
Sc1 Sc 0.250 0.750 0.500
C1 C 0.250 0.250 0.633

=====

Entry 4:
# PBE LiScC, optimized geometry
# Energy ... -0.312 Ry per atom
# ΔH_f (0 K) ... 1.58 eV/atom
# Energy above the most stable polymorph in this dataset ... 1842.4 meV per atom
data_LiScC
_chemical_formula_sum 'Li2 Sc2 C2'
_cell_length_a 5.5124
_cell_length_b 5.5124
_cell_length_c 7.8761
_cell_angle_alpha 90.00
_cell_angle_beta 90.00
_cell_angle_gamma 120.00
_symmetry_space_group_name_H-M 'P 63/m m c'
_symmetry_Int_Tables_number 194
_symmetry_space_group_name_Hall '-P 6c 2c'
loop_
_atom_site_label
_atom_site_type_symbol
_atom_site_fract_x
_atom_site_fract_y
_atom_site_fract_z
Li1 Li 0.3333 0.6667 0.2500
Sc1 Sc 0.0000 0.0000 0.2500
C1 C 0.0000 0.0000 0.0000

=====

Entry 5:
# PBE Li2Sc2C, optimized geometry
# Energy ... -0.359 Ry per atom
# ΔH_f (0 K) ... 0.26 eV/atom
# Energy above the most stable polymorph in this dataset ... 0.0 meV per atom
data_Li2Sc2C
_chemical_formula_sum 'Li4 Sc4 C2'
_cell_length_a 6.134
_cell_length_b 6.134
_cell_length_c 5.579
_cell_angle_alpha 90.00
_cell_angle_beta 90.00
_cell_angle_gamma 90.00
_symmetry_space_group_name_H-M 'P 4/m b m'
_symmetry_Int_Tables_number 127
_symmetry_space_group_name_Hall '-P 4 2ab'
loop_
_atom_site_label
_atom_site_type_symbol
_atom_site_fract_x
_atom_site_fract_y
_atom_site_fract_z
Li1 Li 0.158 0.342 0.000
Sc1 Sc 0.191 0.691 0.500
C1 C 0.000 0.000 0.500

=====

Entry 6:
# PBE LiScC, optimized geometry
# Energy ... -0.445 Ry per atom
# ΔH_f (0 K) ... -0.23 eV/atom
# Energy above the most stable polymorph in this dataset ... 31.5 meV per atom
data_LiScC
_chemical_formula_sum 'Li4 Sc4 C4'
_cell_length_a 7.754
_cell_length_b 3.759
_cell_length_c 5.399
_cell_angle_alpha 90.00
_cell_angle_beta 90.00
_cell_angle_gamma 90.00
_symmetry_space_group_name_H-M 'P n m a'
_symmetry_Int_Tables_number 62
loop_
_symmetry_equiv_pos_as_xyz
'x,y,z'
'-x,-y,-z'
'-x+1/2,-y,z+1/2'
'x+1/2,y,-z+1/2'
'x+1/2,-y+1/2,-z+1/2'
'-x+1/2,y+1/2,z+1/2'
'-x,y+1/2,-z'
'x,-y+1/2,z'
loop_
_atom_site_label
_atom_site_type_symbol
_atom_site_fract_x
_atom_site_fract_y
_atom_site_fract_z
Li1 Li 0.081 0.250 0.041
Sc1 Sc 0.151 0.250 0.525
C1 C 0.120 0.750 0.287

=====

Entry 7:
# PBE LiScC, optimized geometry
# Energy ... -0.447 Ry per atom
# ΔH_f (0 K) ... -0.26 eV/atom
# Energy above the most stable polymorph in this dataset ... 0.0 meV per atom
data_LiScC
_chemical_formula_sum 'Li4 Sc4 C4'
_cell_length_a 5.319
_cell_length_b 5.319
_cell_length_c 5.319
_cell_angle_alpha 90.00
_cell_angle_beta 90.00
_cell_angle_gamma 90.00
_symmetry_space_group_name_H-M 'F -4 3 m'
_symmetry_Int_Tables_number 216
_symmetry_space_group_name_Hall 'F -4 2 3'
loop_
_atom_site_label
_atom_site_type_symbol
_atom_site_fract_x
_atom_site_fract_y
_atom_site_fract_z
Li1 Li 0.000 0.000 0.000
Sc1 Sc 0.000 0.000 0.500
C1 C 0.250 0.250 0.250

=====

Entry 8:
# PBE Li2ScC, optimized geometry
# Energy ... -0.333 Ry per atom
# ΔH_f (0 K) ... 0.32 eV/atom
data_Li2ScC
_chemical_formula_sum 'Li8 Sc4 C4'
_cell_length_a 3.372
_cell_length_b 3.372
_cell_length_c 18.232
_cell_angle_alpha 90.00
_cell_angle_beta 90.00
_cell_angle_gamma 90.00
_symmetry_space_group_name_H-M 'I -4 2 d'
_symmetry_Int_Tables_number 122
_symmetry_space_group_name_Hall 'I -4 2bw'
loop_
_atom_site_label
_atom_site_type_symbol
_atom_site_fract_x
_atom_site_fract_y
_atom_site_fract_z
Li1 Li 0.184 0.750 0.125
Sc1 Sc 0.000 0.000 0.500
C1 C 0.000 0.000 0.000

=====

Entry 9:
# PBE LiScC, optimized geometry
# Energy ... -0.400 Ry per atom
# ΔH_f (0 K) ... 0.38 eV/atom
# Energy above the most stable polymorph in this dataset ... 641.2 meV per atom
data_LiScC
_chemical_formula_sum 'Li4 Sc4 C4'
_cell_length_a 5.122
_cell_length_b 5.122
_cell_length_c 5.122
_cell_angle_alpha 90.00
_cell_angle_beta 90.00
_cell_angle_gamma 90.00
_symmetry_space_group_name_H-M 'F -4 3 m'
_symmetry_Int_Tables_number 216
_symmetry_space_group_name_Hall 'F -4 2 3'
loop_
_atom_site_label
_atom_site_type_symbol
_atom_site_fract_x
_atom_site_fract_y
_atom_site_fract_z
Li1 Li 0.000 0.000 0.000
Sc1 Sc 0.250 0.250 0.750
C1 C 0.250 0.250 0.250

=====

Entry 10:
# PBE LiScC, optimized geometry
# Energy ... -0.441 Ry per atom
# ΔH_f (0 K) ... -0.17 eV/atom
# Energy above the most stable polymorph in this dataset ... 92.2 meV per atom
data_LiScC
_chemical_formula_sum 'Li2 Sc2 C2'
_cell_length_a 4.0000
_cell_length_b 4.0000
_cell_length_c 4.9264
_cell_angle_alpha 90.00
_cell_angle_beta 90.00
_cell_angle_gamma 120.00
_symmetry_space_group_name_H-M 'P 63/m m c'
_symmetry_Int_Tables_number 194
_symmetry_space_group_name_Hall '-P 6c 2c'
loop_
_atom_site_label
_atom_site_type_symbol
_atom_site_fract_x
_atom_site_fract_y
_atom_site_fract_z
Li1 Li 0.0000 0.0000 0.0000
Sc1 Sc 0.3333 0.6667 0.2500
C1 C 0.3333 0.6667 0.7500

=====

Entry 11:
# PBE LiSc2SnC, optimized geometry
# Energy ... -0.443 Ry per atom
# ΔH_f (0 K) ... -0.46 eV/atom
data_LiSc2SnC
_chemical_formula_sum 'Li1 Sc2 Sn1 C1'
_cell_length_a 4.514
_cell_length_b 4.514
_cell_length_c 4.323
_cell_angle_alpha 90.00
_cell_angle_beta 90.00
_cell_angle_gamma 90.00
_symmetry_space_group_name_H-M 'P 4/m m m'
_symmetry_Int_Tables_number 123
_symmetry_space_group_name_Hall '-P 4 2'
loop_
_atom_site_label
_atom_site_type_symbol
_atom_site_fract_x
_atom_site_fract_y
_atom_site_fract_z
Li1 Li 0.000 0.000 0.000
Sc1 Sc 0.000 0.500 0.500
Sn1 Sn 0.500 0.500 0.000
C1 C 0.000 0.000 0.500

=====

Entry 12:
# PBE LiScTc2C, optimized geometry
# Energy ... -0.564 Ry per atom
# ΔH_f (0 K) ... -0.03 eV/atom
data_LiScTc2C
_chemical_formula_sum 'Li1 Sc1 Tc2 C1'
_cell_length_a 4.098
_cell_length_b 4.098
_cell_length_c 4.132
_cell_angle_alpha 90.00
_cell_angle_beta 90.00
_cell_angle_gamma 90.00
_symmetry_space_group_name_H-M 'P 4/m m m'
_symmetry_Int_Tables_number 123
_symmetry_space_group_name_Hall '-P 4 2'
loop_
_atom_site_label
_atom_site_type_symbol
_atom_site_fract_x
_atom_site_fract_y
_atom_site_fract_z
Li1 Li 0.000 0.000 0.000
Sc1 Sc 0.500 0.500 0.000
Tc1 Tc 0.000 0.500 0.500
C1 C 0.000 0.000 0.500

=====

Entry 13:
# PBE LiSc2TcC, optimized geometry
# Energy ... -0.516 Ry per atom
# ΔH_f (0 K) ... -0.19 eV/atom
data_LiSc2TcC
_chemical_formula_sum 'Li1 Sc2 Tc1 C1'
_cell_length_a 4.604
_cell_length_b 4.604
_cell_length_c 3.970
_cell_angle_alpha 90.00
_cell_angle_beta 90.00
_cell_angle_gamma 90.00
_symmetry_space_group_name_H-M 'P 4/m m m'
_symmetry_Int_Tables_number 123
_symmetry_space_group_name_Hall '-P 4 2'
loop_
_atom_site_label
_atom_site_type_symbol
_atom_site_fract_x
_atom_site_fract_y
_atom_site_fract_z
Li1 Li 0.000 0.000 0.000
Sc1 Sc 0.000 0.500 0.500
Tc1 Tc 0.500 0.500 0.000
C1 C 0.500 0.500 0.500

=====

Entry 14:
# PBE LiSc2TeC, optimized geometry
# Energy ... -0.443 Ry per atom
# Uncorrected formation energy ... -0.636 eV/atom
data_LiSc2TeC
_chemical_formula_sum 'Li1 Sc2 Te1 C1'
_cell_length_a 4.510
_cell_length_b 4.510
_cell_length_c 4.317
_cell_angle_alpha 90.00
_cell_angle_beta 90.00
_cell_angle_gamma 90.00
_symmetry_space_group_name_H-M 'P 4/m m m'
_symmetry_Int_Tables_number 123
_symmetry_space_group_name_Hall '-P 4 2'
loop_
_atom_site_label
_atom_site_type_symbol
_atom_site_fract_x
_atom_site_fract_y
_atom_site_fract_z
Li1 Li 0.000 0.000 0.000
Sc1 Sc 0.000 0.500 0.500
Te1 Te 0.500 0.500 0.000
C1 C 0.000 0.000 0.500

=====

Density per entry: 2.80; 2.42; 2.31; 1.02; 1.83; 2.70; 2.82; 2.27; 3.16; 3.11; 4.29; 6.22; 4.08; 4.47 Mg/m³
M_tot per entry: 0.00; 0.00; 0.00; 0.00; 0.00; 0.00; 0.00; 0.00; 0.00; 0.00; 0.00; 0.00; 0.00; 0.00 μB/f.u.